Entry 1:
Computed, not measured: a geometry-optimized Ho2ZnSi3 structure at the PBE-GGA level of DFT.

Cell and atoms, written as extended XYZ:
```
6
Lattice="3.881 0.000 -1.033 -0.296 3.908 -1.111 -0.078 0.007 7.515" Properties=species:S:1:pos:R:3 pbc="T T T"
Ho 0.443 0.506 1.664
Ho 3.206 1.447 4.237
Zn 1.431 3.759 5.375
Si 2.504 2.767 1.600
Si 1.935 2.117 -0.537
Si 0.857 3.102 3.219
```

M_tot = 0.000 μB/atom
ΔE_f (raw) = -0.632 eV/atom
DFT total energy = -5.081 eV/atom



Entry 2:
Computed, not measured: a geometry-optimized HoZnSi structure at the PBE-GGA level of DFT.

Cell and atoms, written as extended XYZ:
```
6
Lattice="-0.787 3.500 1.434 -1.077 -1.800 3.800 7.952 -1.061 1.751" Properties=species:S:1:pos:R:3 pbc="T T T"
Ho 1.372 0.635 4.408
Ho 4.717 0.004 2.578
Zn -0.061 1.355 1.864
Zn 6.149 -0.716 5.122
Si 4.153 0.888 5.316
Si 1.935 -0.249 1.670
```

M_tot = 0.000 μB/atom
ΔE_f (raw) = -0.321 eV/atom
DFT total energy = -4.080 eV/atom



Entry 3:
Computed, not measured: a geometry-optimized HoZn2Si structure at the PBE-GGA level of DFT.

Cell and atoms, written as extended XYZ:
```
4
Lattice="-1.010 2.170 -3.643 -1.118 -3.493 -1.771 -3.801 0.524 1.366" Properties=species:S:1:pos:R:3 pbc="T T T"
Zn -1.901 0.262 0.683
Zn -0.559 -1.747 -0.886
Si -2.964 -0.400 -2.024
Ho -0.505 1.085 -1.821
```

M_tot = 0.000 μB/atom
ΔE_f (raw) = -0.352 eV/atom
DFT total energy = -3.489 eV/atom



Entry 4:
Computed, not measured: a geometry-optimized Ho4Zn5Si6 structure at the PBE-GGA level of DFT.

Cell and atoms, written as extended XYZ:
```
30
Lattice="-3.894 0.002 1.483 0.856 -8.589 -3.596 5.053 -5.055 13.274" Properties=species:S:1:pos:R:3 pbc="T T T"
Ho -1.639 -9.348 1.561
Ho 3.781 -4.422 9.935
Ho 1.171 -4.411 3.081
Ho 1.390 -9.777 9.515
Ho -0.408 -7.816 4.792
Ho 4.389 -7.793 11.536
Ho 2.486 -2.839 6.531
Ho 2.054 -13.328 11.263
Zn 2.507 -10.942 6.597
Zn -1.156 -2.036 2.821
Zn 2.836 -5.755 7.454
Zn -2.070 -6.637 0.425
Zn 0.141 -4.984 6.231
Zn 4.176 -10.962 10.980
Zn 2.495 -8.316 6.561
Zn -1.757 -4.047 1.244
Zn 0.639 -7.294 1.688
Zn 1.628 -6.600 10.137
Si -1.213 -6.025 2.676
Si 1.097 -9.479 2.892
Si 2.433 -9.779 12.255
Si 1.980 -6.262 5.206
Si 3.351 -11.932 8.813
Si -0.279 -2.767 5.124
Si -0.288 -8.071 -0.747
Si 1.085 -4.352 8.708
Si 0.352 -2.533 0.927
Si 0.332 -9.777 6.737
Si 2.475 -5.721 12.360
Si 3.362 -7.751 8.838
```

M_tot = 0.000 μB/atom
ΔE_f (raw) = -0.487 eV/atom
DFT total energy = -4.302 eV/atom